Record 1
Compound: TbNd2Hg6
Source: Alexandria
Functional: PBE
Structure: optimized geometry

Properties
- energy (eV/cell) = -19.74
- magnetic moment (μB per formula unit) = 0.4
- SG = No. 191
- N(E_F) (states/eV per cell) = 6.72
- calculated volume (Å³ per cell) = 228

a b c (Å): 8.713 8.713 3.476
angles (deg): 90.00 90.00 120.00
Positions (direct):
Tb: 0.000 0.000 0.000
Nd: 0.333 0.667 0.000
Nd: 0.667 0.333 0.000
Hg: 0.000 0.331 0.500
Hg: 0.000 0.669 0.500
Hg: 0.331 0.000 0.500
Hg: 0.331 0.331 0.500
Hg: 0.669 0.000 0.500
Hg: 0.669 0.669 0.500

=====

Record 2
Compound: TbNdHgTe
Source: Alexandria
Functional: PBE
Structure: optimized geometry

Properties
- magnetic moment (μB per formula unit) = 0.0
- SG = No. 160
- N(E_F) (states/eV per cell) = 6.70
- formation energy without anion corrections (eV/f.u.) = -3.58
- calculated volume (Å³ per cell) = 366

a b c (Å): 4.253 4.253 23.386
angles (deg): 90.00 90.00 120.00
Positions (direct):
Tb: 0.000 0.000 0.000
Tb: 0.333 0.667 0.667
Tb: 0.667 0.333 0.333
Nd: 0.000 0.000 0.499
Nd: 0.333 0.667 0.166
Nd: 0.667 0.333 0.832
Hg: 0.000 0.000 0.252
Hg: 0.333 0.667 0.919
Hg: 0.667 0.333 0.586
Te: 0.000 0.000 0.747
Te: 0.333 0.667 0.413
Te: 0.667 0.333 0.080

=====

Record 3
Compound: TbNdTlHg
Source: Alexandria
Functional: PBE
Structure: optimized geometry

Properties
- magnetic moment (μB per formula unit) = 0.6
- SG = No. 99
- N(E_F) (states/eV per cell) = 4.48
- polymorph energy (0 for the lowest one) (meV per atom) = 0.0
- calculated volume (Å³ per cell) = 112

a b c (Å): 3.810 3.810 7.722
angles (deg): 90.00 90.00 90.00
Positions (direct):
Tb: 0.000 0.000 0.000
Nd: 0.000 0.000 0.518
Tl: 0.500 0.500 0.250
Hg: 0.500 0.500 0.777

=====

Record 4
Compound: TbNd2Tl2Hg2
Source: Alexandria
Functional: PBE
Structure: optimized geometry

Properties
- energy (eV/cell) = -20.88
- magnetic moment (μB per formula unit) = 0.0
- SG = No. 166
- N(E_F) (states/eV per cell) = 3.80
- calculated volume (Å³ per cell) = 198

a b c (Å): 9.504 9.504 9.504
angles (deg): 30.67 30.67 30.67
Positions (direct):
Tb: 0.000 0.000 0.000
Nd: 0.133 0.133 0.133
Nd: 0.867 0.867 0.867
Tl: 0.277 0.277 0.277
Tl: 0.723 0.723 0.723
Hg: 0.429 0.429 0.429
Hg: 0.571 0.571 0.571

=====

Record 5
Compound: TbNdTlHg
Source: Alexandria
Functional: PBE
Structure: optimized geometry

Properties
- magnetic moment (μB per formula unit) = 0.8
- SG = No. 216
- N(E_F) (states/eV per cell) = 16.57
- polymorph energy (0 for the lowest one) (meV per atom) = 5.0
- calculated volume (Å³ per cell) = 449

a b c (Å): 7.657 7.657 7.657
angles (deg): 90.00 90.00 90.00
Positions (direct):
Tb: 0.000 0.000 0.000
Tb: 0.000 0.500 0.500
Tb: 0.500 0.000 0.500
Tb: 0.500 0.500 0.000
Nd: 0.000 0.000 0.500
Nd: 0.000 0.500 0.000
Nd: 0.500 0.000 0.000
Nd: 0.500 0.500 0.500
Tl: 0.250 0.250 0.750
Tl: 0.250 0.750 0.250
Tl: 0.750 0.250 0.250
Tl: 0.750 0.750 0.750
Hg: 0.250 0.250 0.250
Hg: 0.250 0.750 0.750
Hg: 0.750 0.250 0.750
Hg: 0.750 0.750 0.250

=====

Record 6
Compound: Tb2NdZn2Hg2
Source: Alexandria
Functional: PBE
Structure: optimized geometry

Properties
- energy (eV/cell) = -19.26
- magnetic moment (μB per formula unit) = 0.0
- SG = No. 166
- N(E_F) (states/eV per cell) = 4.84
- calculated volume (Å³ per cell) = 175

a b c (Å): 9.360 9.360 9.360
angles (deg): 29.42 29.42 29.42
Positions (direct):
Tb: 0.126 0.126 0.126
Tb: 0.874 0.874 0.874
Nd: 0.000 0.000 0.000
Zn: 0.254 0.254 0.254
Zn: 0.746 0.746 0.746
Hg: 0.403 0.403 0.403
Hg: 0.597 0.597 0.597

=====

Record 7
Compound: Nd12TcHg6
Source: Alexandria
Functional: PBE
Structure: optimized geometry

Properties
- energy (eV/cell) = -72.93
- magnetic moment (μB per formula unit) = 0.0
- SG = No. 148
- N(E_F) (states/eV per cell) = 25.14
- calculated volume (Å³ per cell) = 601

a b c (Å): 8.460 8.460 8.460
angles (deg): 93.83 93.83 93.83
Positions (direct):
Nd: 0.026 0.917 0.681
Nd: 0.083 0.319 0.974
Nd: 0.198 0.428 0.541
Nd: 0.319 0.974 0.083
Nd: 0.428 0.541 0.198
Nd: 0.459 0.802 0.572
Nd: 0.541 0.198 0.428
Nd: 0.572 0.459 0.802
Nd: 0.681 0.026 0.917
Nd: 0.802 0.572 0.459
Nd: 0.917 0.681 0.026
Nd: 0.974 0.083 0.319
Tc: 0.000 0.000 0.000
Hg: 0.145 0.737 0.343
Hg: 0.263 0.657 0.855
Hg: 0.343 0.145 0.737
Hg: 0.657 0.855 0.263
Hg: 0.737 0.343 0.145
Hg: 0.855 0.263 0.657

=====

Record 8
Compound: Nd3TcHg
Source: Alexandria
Functional: PBE
Structure: optimized geometry

Properties
- energy (eV/cell) = -51.47
- magnetic moment (μB per formula unit) = 0.0
- SG = No. 11
- N(E_F) (states/eV per cell) = 12.42
- calculated volume (Å³ per cell) = 289

a b c (Å): 8.673 4.124 8.899
angles (deg): 90.00 114.84 90.00
Positions (direct):
Nd: 0.080 0.250 0.173
Nd: 0.209 0.750 0.549
Nd: 0.416 0.750 0.152
Nd: 0.584 0.250 0.848
Nd: 0.791 0.250 0.451
Nd: 0.920 0.750 0.827
Tc: 0.432 0.250 0.440
Tc: 0.568 0.750 0.560
Hg: 0.203 0.250 0.833
Hg: 0.797 0.750 0.167